No. 1
The following is a GGA-PBE calculation of an optimized crystal structure of LiMgGa4, from Alexandria.

Values from the calculation:
The value obtained for the electronic total energy is -2.781 eV per atom. The formation energy comes out at -179 meV per atom. The density of states at the Fermi level is 2.81 states/eV per cell.

Cell and atoms, written as CIF:
```
data_LiMgGa4
_chemical_formula_sum 'Li2 Mg2 Ga8'
_space_group_name_H-M_alt 'P 1'
_space_group_IT_number 1
_space_group_name_Hall 'P 1'
_cell_length_a 4.309
_cell_length_b 6.616
_cell_length_c 7.722
_cell_angle_alpha 90.00
_cell_angle_beta 90.00
_cell_angle_gamma 90.00
loop_
_atom_site_label
_atom_site_fract_x
_atom_site_fract_y
_atom_site_fract_z
Li1 0.000 0.000 0.000
Li2 0.500 0.500 0.500
Mg1 0.000 0.500 0.000
Mg2 0.500 0.000 0.500
Ga1 0.000 0.290 0.334
Ga2 0.000 0.290 0.666
Ga3 0.000 0.710 0.334
Ga4 0.000 0.710 0.666
Ga5 0.500 0.210 0.166
Ga6 0.500 0.210 0.834
Ga7 0.500 0.790 0.166
Ga8 0.500 0.790 0.834
```



No. 2
The following is a GGA-PBE calculation of an optimized crystal structure of Th4GeTe4, from Alexandria.

Values from the calculation:
The value obtained for the electronic total energy is -6.332 eV per atom. The density of states at the Fermi level is 4.54 states/eV per cell.

Cell and atoms, written as CIF:
```
data_Th4GeTe4
_chemical_formula_sum 'Th4 Ge1 Te4'
_space_group_name_H-M_alt 'P 1'
_space_group_IT_number 1
_space_group_name_Hall 'P 1'
_cell_length_a 7.634
_cell_length_b 7.634
_cell_length_c 10.891
_cell_angle_alpha 118.92
_cell_angle_beta 118.92
_cell_angle_gamma 33.37
loop_
_atom_site_label
_atom_site_fract_x
_atom_site_fract_y
_atom_site_fract_z
Th1 0.092 0.092 0.413
Th2 0.310 0.310 0.217
Th3 0.690 0.690 0.783
Th4 0.908 0.908 0.587
Ge1 0.500 0.500 0.500
Te1 0.100 0.100 0.907
Te2 0.316 0.316 0.715
Te3 0.684 0.684 0.285
Te4 0.900 0.900 0.093
```



No. 3
The following is a GGA-PBE calculation of an optimized crystal structure of TlCo2Cl, from Alexandria.

Values from the calculation:
The value obtained for the electronic total energy is -3.816 eV per atom. The relative energy among the computed polymorphs is 554 meV per atom. The density of states at the Fermi level is 30.31 states/eV per cell.

Cell and atoms, written as CIF:
```
data_TlCo2Cl
_chemical_formula_sum 'Tl4 Co8 Cl4'
_space_group_name_H-M_alt 'P 1'
_space_group_IT_number 1
_space_group_name_Hall 'P 1'
_cell_length_a 6.422
_cell_length_b 6.422
_cell_length_c 6.422
_cell_angle_alpha 90.00
_cell_angle_beta 90.00
_cell_angle_gamma 90.00
loop_
_atom_site_label
_atom_site_fract_x
_atom_site_fract_y
_atom_site_fract_z
Tl1 0.000 0.000 0.000
Tl2 0.000 0.500 0.500
Tl3 0.500 0.000 0.500
Tl4 0.500 0.500 0.000
Co1 0.250 0.250 0.250
Co2 0.250 0.250 0.750
Co3 0.250 0.750 0.250
Co4 0.250 0.750 0.750
Co5 0.750 0.250 0.250
Co6 0.750 0.250 0.750
Co7 0.750 0.750 0.250
Co8 0.750 0.750 0.750
Cl1 0.000 0.000 0.500
Cl2 0.000 0.500 0.000
Cl3 0.500 0.000 0.000
Cl4 0.500 0.500 0.500
```



Q: Among the records above, which one has the lowest electronic total energy?
A: Th4GeTe4



Q: What is the electronic total energy in the first record?
A: -2.781 eV per atom